Run w
DFT (meta-GGA SCAN) results for a crystal of Rb2VP2O8 relaxed with PBEsol.

The structure in POSCAR format:
```
Rb2VP2O8
1.0
12.397 0.000 0.000
0.000 7.209 0.000
0.000 0.000 9.569
Rb V P O
8 4 8 32
direct
0.099 0.250 0.139
0.104 0.750 0.421
0.396 0.250 0.921
0.401 0.750 0.639
0.599 0.250 0.361
0.604 0.750 0.079
0.896 0.250 0.579
0.901 0.750 0.861
0.210 0.750 0.974
0.290 0.250 0.474
0.710 0.750 0.526
0.790 0.250 0.026
0.154 0.046 0.723
0.154 0.454 0.723
0.346 0.546 0.223
0.346 0.954 0.223
0.654 0.046 0.777
0.654 0.454 0.777
0.846 0.546 0.277
0.846 0.954 0.277
0.039 0.515 0.704
0.039 0.985 0.704
0.087 0.750 0.027
0.159 0.250 0.795
0.215 0.061 0.582
0.215 0.439 0.582
0.224 0.568 0.823
0.224 0.932 0.823
0.276 0.068 0.323
0.276 0.432 0.323
0.285 0.561 0.082
0.285 0.939 0.082
0.341 0.750 0.295
0.413 0.250 0.527
0.461 0.015 0.204
0.461 0.485 0.204
0.539 0.515 0.796
0.539 0.985 0.796
0.587 0.750 0.473
0.659 0.250 0.705
0.715 0.061 0.918
0.715 0.439 0.918
0.724 0.568 0.677
0.724 0.932 0.677
0.776 0.068 0.177
0.776 0.432 0.177
0.785 0.561 0.418
0.785 0.939 0.418
0.841 0.750 0.205
0.913 0.250 0.973
0.961 0.015 0.296
0.961 0.485 0.296
```

Calculated values
Density of states at the Fermi level   0.00 states/eV per cell
Calculated volume   855.1 Å³/cell



Run x
DFT (meta-GGA SCAN) results for a crystal of Rb2VP2O8 relaxed with PBEsol.

The structure in POSCAR format:
```
Rb2VP2O8
1.0
7.061 0.000 0.000
0.000 9.080 0.000
0.000 0.000 12.959
Rb V P O
8 4 8 32
direct
0.226 0.170 0.410
0.228 0.609 0.591
0.272 0.391 0.091
0.274 0.830 0.910
0.726 0.330 0.590
0.728 0.891 0.409
0.772 0.109 0.909
0.774 0.670 0.090
0.247 0.241 0.808
0.253 0.759 0.308
0.747 0.259 0.192
0.753 0.741 0.692
0.004 0.028 0.652
0.088 0.012 0.163
0.412 0.988 0.663
0.496 0.972 0.152
0.504 0.472 0.348
0.588 0.488 0.837
0.912 0.512 0.337
0.996 0.528 0.848
0.011 0.661 0.320
0.029 0.922 0.072
0.054 0.171 0.713
0.058 0.562 0.956
0.093 0.927 0.267
0.136 0.438 0.782
0.174 0.197 0.921
0.194 0.928 0.648
0.306 0.072 0.148
0.326 0.803 0.421
0.364 0.562 0.282
0.407 0.073 0.767
0.442 0.438 0.456
0.446 0.829 0.213
0.471 0.078 0.572
0.489 0.339 0.820
0.511 0.839 0.680
0.529 0.578 0.928
0.554 0.329 0.287
0.558 0.938 0.044
0.593 0.573 0.733
0.636 0.062 0.218
0.674 0.303 0.079
0.694 0.572 0.352
0.806 0.428 0.852
0.826 0.697 0.579
0.864 0.938 0.718
0.907 0.427 0.233
0.942 0.062 0.544
0.946 0.671 0.787
0.971 0.422 0.428
0.989 0.161 0.180
```

Calculated values
Density of states at the Fermi level   0.00 states/eV per cell
Calculated volume   830.8 Å³/cell



Which is less stable than every other structure shown? run w is.